First-principles (PBE-GGA) data for Zn2Cu2Ge after structural relaxation, as listed in Alexandria.

Values from the calculation:
The value obtained for the total energy is -14.6 eV for the cell shown. For the total magnetization, the calculation gives 0.000 μB/cell. The calculated density comes out at 7.15 g/cm3.

a b c (Å): 3.525 3.525 6.661
angles (deg): 74.66 74.66 90.00
Atoms (fractional coordinates):
Ge (0.000, 0.000, 0.000)
Cu (0.598, 0.598, 0.805)
Zn (0.250, 0.750, 0.500)
Cu (0.402, 0.402, 0.195)
Zn (0.750, 0.250, 0.500)

---

First-principles (PBE-GGA) data for Zn2Cu2Ge after structural relaxation, as listed in Alexandria.

Values from the calculation:
The value obtained for the total energy is -29.9 eV for the cell shown. For the total magnetization, the calculation gives 0.000 μB/cell. The calculated density comes out at 7.42 g/cm3.

a b c (Å): 7.321 7.321 2.761
angles (deg): 90.00 90.00 90.00
Atoms (fractional coordinates):
Cu (0.671, 0.829, 0.500)
Zn (0.626, 0.126, 0.000)
Cu (0.329, 0.171, 0.500)
Zn (0.374, 0.874, 0.000)
Ge (0.500, 0.500, 0.000)
Ge (0.000, 0.000, 0.000)
Cu (0.829, 0.329, 0.500)
Zn (0.874, 0.626, 0.000)
Zn (0.126, 0.374, 0.000)
Cu (0.171, 0.671, 0.500)

---

First-principles (PBE-GGA) data for ZnCu12Ge3 after structural relaxation, as listed in Alexandria.

Values from the calculation:
The value obtained for the total energy is -64.5 eV for the cell shown. For the total magnetization, the calculation gives 0.000 μB/cell. The calculated density comes out at 8.51 g/cm3.

a b c (Å): 3.734 3.734 14.642
angles (deg): 90.00 90.00 90.00
Atoms (fractional coordinates):
Cu (0.000, 0.500, 0.876)
Cu (0.500, 0.500, 0.752)
Cu (0.500, 0.500, 0.000)
Cu (0.000, 0.500, 0.124)
Zn (0.000, 0.000, 0.000)
Ge (0.000, 0.000, 0.500)
Cu (0.500, 0.000, 0.627)
Cu (0.500, 0.000, 0.124)
Cu (0.000, 0.500, 0.373)
Ge (0.000, 0.000, 0.752)
Cu (0.500, 0.500, 0.248)
Cu (0.000, 0.500, 0.627)
Cu (0.500, 0.000, 0.876)
Cu (0.500, 0.000, 0.373)
Cu (0.500, 0.500, 0.500)
Ge (0.000, 0.000, 0.248)

---

First-principles (PBE-GGA) data for Zn6Cu8Ge after structural relaxation, as listed in Alexandria.

Values from the calculation:
The value obtained for the total energy is -44.5 eV for the cell shown. For the total magnetization, the calculation gives 0.000 μB/cell. The calculated density comes out at 7.72 g/cm3.

a b c (Å): 6.752 6.752 6.581
angles (deg): 59.13 59.13 60.00
Atoms (fractional coordinates):
Ge (0.000, 0.000, 0.000)
Zn (0.394, 0.564, 0.191)
Cu (0.257, 0.257, 0.228)
Zn (0.149, 0.606, 0.809)
Zn (0.564, 0.851, 0.191)
Zn (0.851, 0.394, 0.191)
Cu (0.743, 0.743, 0.772)
Zn (0.436, 0.149, 0.809)
Cu (0.356, 0.895, 0.635)
Zn (0.606, 0.436, 0.809)
Cu (0.644, 0.105, 0.365)
Cu (0.105, 0.886, 0.365)
Cu (0.895, 0.114, 0.635)
Cu (0.114, 0.356, 0.635)
Cu (0.886, 0.644, 0.365)

---

First-principles (PBE-GGA) data for Zr3Cu4Ge2 after structural relaxation, as listed in Alexandria.

Values from the calculation:
The value obtained for the total energy is -55.7 eV for the cell shown. For the total magnetization, the calculation gives 0.000 μB/cell. The calculated density comes out at 7.68 g/cm3.

a b c (Å): 6.471 6.471 4.015
angles (deg): 90.00 90.00 120.00
Atoms (fractional coordinates):
Cu (0.760, 0.760, 0.000)
Cu (0.000, 0.240, 0.000)
Cu (0.240, 0.000, 0.000)
Zr (0.409, 0.409, 0.500)
Ge (0.333, 0.667, 0.000)
Zr (0.591, 0.000, 0.500)
Cu (0.000, 0.000, 0.500)
Zr (0.000, 0.591, 0.500)
Ge (0.667, 0.333, 0.000)

---

First-principles (PBE-GGA) data for Zr2Cu2Ge after structural relaxation, as listed in Alexandria.

Values from the calculation:
The value obtained for the total energy is -60.0 eV for the cell shown. For the total magnetization, the calculation gives 0.000 μB/cell. The calculated density comes out at 6.79 g/cm3.

a b c (Å): 7.418 7.418 3.395
angles (deg): 90.00 90.00 90.00
Atoms (fractional coordinates):
Zr (0.171, 0.329, 0.000)
Zr (0.671, 0.171, 0.000)
Ge (0.000, 0.000, 0.000)
Zr (0.829, 0.671, 0.000)
Ge (0.500, 0.500, 0.000)
Cu (0.377, 0.123, 0.500)
Zr (0.329, 0.829, 0.000)
Cu (0.877, 0.377, 0.500)
Cu (0.623, 0.877, 0.500)
Cu (0.123, 0.623, 0.500)

---

First-principles (PBE-GGA) data for ZrCuGe3 after structural relaxation, as listed in Alexandria.

Values from the calculation:
The value obtained for the total energy is -22.5 eV for the cell shown. For the total magnetization, the calculation gives 0.000 μB/cell. The calculated density comes out at 4.45 g/cm3.

a b c (Å): 5.182 5.182 5.182
angles (deg): 90.00 90.00 90.00
Atoms (fractional coordinates):
Zr (0.000, 0.000, 0.000)
Cu (0.500, 0.500, 0.500)
Ge (0.500, 0.000, 0.000)
Ge (0.000, 0.500, 0.000)
Ge (0.000, 0.000, 0.500)

---

First-principles (PBE-GGA) data for Zr4Cu5Ge6 after structural relaxation, as listed in Alexandria.

Values from the calculation:
The value obtained for the total energy is -177.9 eV for the cell shown. For the total magnetization, the calculation gives 0.000 μB/cell. The calculated density comes out at 7.27 g/cm3.

a b c (Å): 3.992 9.101 14.408
angles (deg): 90.00 90.00 102.67
Atoms (fractional coordinates):
Ge (0.434, 0.867, 0.130)
Zr (0.822, 0.643, 0.441)
Ge (0.111, 0.223, 0.115)
Ge (0.773, 0.546, 0.261)
Ge (0.227, 0.454, 0.761)
Ge (0.429, 0.858, 0.414)
Cu (0.654, 0.307, 0.776)
Cu (0.346, 0.693, 0.276)
Cu (0.149, 0.299, 0.624)
Ge (0.889, 0.777, 0.615)
Zr (0.032, 0.065, 0.764)
Cu (0.566, 0.131, 0.187)
Zr (0.832, 0.663, 0.803)
Ge (0.566, 0.133, 0.630)
Ge (0.222, 0.445, 0.485)
Ge (0.778, 0.555, 0.985)
Ge (0.562, 0.123, 0.354)
Zr (0.168, 0.337, 0.303)
Ge (0.438, 0.877, 0.854)
Cu (0.851, 0.701, 0.124)
Zr (0.020, 0.041, 0.499)
Zr (0.178, 0.357, 0.941)
Cu (0.303, 0.606, 0.621)
Zr (0.980, 0.959, 0.999)
Cu (0.434, 0.869, 0.687)
Zr (0.968, 0.935, 0.264)
Cu (0.697, 0.394, 0.121)
Cu (0.352, 0.705, 0.982)
Ge (0.571, 0.142, 0.914)
Cu (0.648, 0.295, 0.482)

---

First-principles (PBE-GGA) data for Zr3CuGe after structural relaxation, as listed in Alexandria.

Values from the calculation:
The value obtained for the total energy is -32.7 eV for the cell shown. For the total magnetization, the calculation gives 0.000 μB/cell. The calculated density comes out at 5.90 g/cm3.

a b c (Å): 4.867 4.867 4.867
angles (deg): 90.00 90.00 90.00
Atoms (fractional coordinates):
Cu (0.000, 0.000, 0.000)
Zr (0.000, 0.000, 0.500)
Ge (0.500, 0.500, 0.500)
Zr (0.000, 0.500, 0.000)
Zr (0.500, 0.000, 0.000)

---

First-principles (PBE-GGA) data for ZrCuGe after structural relaxation, as listed in Alexandria.

Values from the calculation:
The value obtained for the total energy is -76.1 eV for the cell shown. For the total magnetization, the calculation gives 0.000 μB/cell. The calculated density comes out at 7.65 g/cm3.

a b c (Å): 4.018 6.596 7.448
angles (deg): 90.00 90.00 90.00
Atoms (fractional coordinates):
Cu (0.750, 0.828, 0.423)
Ge (0.250, 0.778, 0.601)
Cu (0.750, 0.328, 0.077)
Zr (0.250, 0.010, 0.195)
Cu (0.250, 0.672, 0.923)
Zr (0.250, 0.510, 0.305)
Ge (0.750, 0.222, 0.399)
Cu (0.250, 0.172, 0.577)
Zr (0.750, 0.490, 0.695)
Ge (0.750, 0.722, 0.101)
Ge (0.250, 0.278, 0.899)
Zr (0.750, 0.990, 0.805)

---

First-principles (PBE-GGA) data for Zr2Cu2Ge after structural relaxation, as listed in Alexandria.

Values from the calculation:
The value obtained for the total energy is -63.1 eV for the cell shown. For the total magnetization, the calculation gives 0.000 μB/cell. The calculated density comes out at 7.39 g/cm3.

a b c (Å): 6.513 6.513 4.047
angles (deg): 90.00 90.00 90.00
Atoms (fractional coordinates):
Ge (0.500, 0.500, 0.000)
Cu (0.869, 0.631, 0.000)
Zr (0.670, 0.830, 0.500)
Zr (0.830, 0.330, 0.500)
Cu (0.369, 0.869, 0.000)
Zr (0.330, 0.170, 0.500)
Cu (0.631, 0.131, 0.000)
Cu (0.131, 0.369, 0.000)
Zr (0.170, 0.670, 0.500)
Ge (0.000, 0.000, 0.000)

---

First-principles (PBE-GGA) data for ZrCuGe3 after structural relaxation, as listed in Alexandria.

Values from the calculation:
The value obtained for the total energy is -24.4 eV for the cell shown. For the total magnetization, the calculation gives 0.000 μB/cell. The calculated density comes out at 6.14 g/cm3.

a b c (Å): 4.653 4.653 4.653
angles (deg): 90.00 90.00 90.00
Atoms (fractional coordinates):
Cu (0.000, 0.000, 0.000)
Ge (0.000, 0.000, 0.500)
Ge (0.000, 0.500, 0.000)
Ge (0.500, 0.000, 0.000)
Zr (0.500, 0.500, 0.500)

---

First-principles (PBE-GGA) data for ZrCuGe after structural relaxation, as listed in Alexandria.

Values from the calculation:
The value obtained for the total energy is -113.5 eV for the cell shown. For the total magnetization, the calculation gives 0.000 μB/cell. The calculated density comes out at 7.60 g/cm3.

a b c (Å): 3.978 6.555 11.433
angles (deg): 89.14 90.00 90.00
Atoms (fractional coordinates):
Cu (0.250, 0.993, 0.095)
Zr (0.750, 0.661, 0.077)
Zr (0.250, 0.339, 0.923)
Zr (0.750, 0.513, 0.376)
Ge (0.250, 0.773, 0.909)
Zr (0.250, 0.985, 0.695)
Cu (0.750, 0.172, 0.550)
Cu (0.250, 0.828, 0.450)
Ge (0.750, 0.776, 0.572)
Cu (0.750, 0.648, 0.800)
Ge (0.250, 0.224, 0.428)
Zr (0.250, 0.487, 0.624)
Ge (0.250, 0.721, 0.245)
Cu (0.250, 0.352, 0.200)
Cu (0.750, 0.007, 0.905)
Zr (0.750, 0.015, 0.305)
Ge (0.750, 0.279, 0.755)
Ge (0.750, 0.227, 0.091)

---

First-principles (PBE-GGA) data for ZrCuGe after structural relaxation, as listed in Alexandria.

Values from the calculation:
The value obtained for the total energy is -17.5 eV for the cell shown. For the total magnetization, the calculation gives 0.000 μB/cell. The calculated density comes out at 7.03 g/cm3.

a b c (Å): 3.680 3.680 4.743
angles (deg): 112.83 112.83 90.00
Atoms (fractional coordinates):
Ge (0.274, 0.274, 0.548)
Cu (0.956, 0.956, 0.912)
Zr (0.620, 0.620, 0.240)

---

First-principles (PBE-GGA) data for Zr3CuGe2 after structural relaxation, as listed in Alexandria.

Values from the calculation:
The value obtained for the total energy is -171.5 eV for the cell shown. For the total magnetization, the calculation gives 0.000 μB/cell. The calculated density comes out at 7.12 g/cm3.

a b c (Å): 3.945 10.416 10.957
angles (deg): 90.00 90.00 90.00
Atoms (fractional coordinates):
Ge (0.250, 0.684, 0.479)
Zr (0.250, 0.073, 0.873)
Ge (0.750, 0.014, 0.689)
Cu (0.250, 0.130, 0.135)
Cu (0.250, 0.370, 0.635)
Zr (0.250, 0.807, 0.706)
Ge (0.250, 0.514, 0.811)
Zr (0.250, 0.380, 0.042)
Zr (0.250, 0.693, 0.206)
Ge (0.750, 0.486, 0.189)
Zr (0.750, 0.880, 0.458)
Cu (0.750, 0.870, 0.865)
Ge (0.250, 0.986, 0.311)
Zr (0.250, 0.120, 0.542)
Zr (0.750, 0.193, 0.294)
Ge (0.750, 0.184, 0.021)
Zr (0.750, 0.927, 0.127)
Zr (0.750, 0.573, 0.627)
Zr (0.750, 0.307, 0.794)
Ge (0.750, 0.316, 0.521)
Cu (0.750, 0.630, 0.365)
Ge (0.250, 0.816, 0.979)
Zr (0.750, 0.620, 0.958)
Zr (0.250, 0.427, 0.373)

---

First-principles (PBE-GGA) data for ZrCuGe after structural relaxation, as listed in Alexandria.

Values from the calculation:
The value obtained for the total energy is -18.8 eV for the cell shown. For the total magnetization, the calculation gives 0.000 μB/cell. The calculated density comes out at 7.54 g/cm3.

a b c (Å): 3.413 4.115 4.115
angles (deg): 120.00 90.00 90.00
Atoms (fractional coordinates):
Zr (0.667, 0.667, 0.333)
Ge (0.167, 0.333, 0.667)
Cu (0.167, 0.000, 0.000)

---

First-principles (PBE-GGA) data for ZrCu2Ge2 after structural relaxation, as listed in Alexandria.

Values from the calculation:
The value obtained for the total energy is -53.4 eV for the cell shown. For the total magnetization, the calculation gives 0.000 μB/cell. The calculated density comes out at 7.60 g/cm3.

a b c (Å): 7.286 7.286 2.992
angles (deg): 90.00 90.00 90.00
Atoms (fractional coordinates):
Cu (0.619, 0.119, 0.000)
Ge (0.180, 0.680, 0.500)
Zr (0.000, 0.000, 0.000)
Ge (0.320, 0.180, 0.500)
Cu (0.381, 0.881, 0.000)
Cu (0.881, 0.619, 0.000)
Zr (0.500, 0.500, 0.000)
Ge (0.680, 0.820, 0.500)
Ge (0.820, 0.320, 0.500)
Cu (0.119, 0.381, 0.000)

---

First-principles (PBE-GGA) data for Zr2CuGe4 after structural relaxation, as listed in Alexandria.

Values from the calculation:
The value obtained for the total energy is -86.8 eV for the cell shown. For the total magnetization, the calculation gives 0.000 μB/cell. The calculated density comes out at 7.25 g/cm3.

a b c (Å): 16.708 16.708 3.840
angles (deg): 90.00 90.00 166.75
Atoms (fractional coordinates):
Ge (0.203, 0.797, 0.250)
Ge (0.472, 0.528, 0.250)
Ge (0.887, 0.113, 0.250)
Zr (0.322, 0.678, 0.250)
Cu (0.750, 0.250, 0.250)
Ge (0.113, 0.887, 0.750)
Ge (0.613, 0.387, 0.250)
Zr (0.047, 0.953, 0.250)
Ge (0.387, 0.613, 0.750)
Ge (0.797, 0.203, 0.750)
Zr (0.953, 0.047, 0.750)
Ge (0.528, 0.472, 0.750)
Zr (0.678, 0.322, 0.750)
Cu (0.250, 0.750, 0.750)

---

First-principles (PBE-GGA) data for ZrCuGe after structural relaxation, as listed in Alexandria.

Values from the calculation:
The value obtained for the total energy is -38.1 eV for the cell shown. For the total magnetization, the calculation gives 0.000 μB/cell. The calculated density comes out at 7.58 g/cm3.

a b c (Å): 3.825 3.825 6.806
angles (deg): 90.00 90.00 90.00
Atoms (fractional coordinates):
Zr (0.500, 0.000, 0.152)
Cu (0.500, 0.500, 0.500)
Ge (0.000, 0.500, 0.260)
Cu (0.000, 0.000, 0.500)
Ge (0.500, 0.000, 0.740)
Zr (0.000, 0.500, 0.848)

---

First-principles (PBE-GGA) data for Cu4H after structural relaxation, as listed in Alexandria.

Values from the calculation:
The value obtained for the total energy is -19.3 eV for the cell shown. For the total magnetization, the calculation gives 0.000 μB/cell. The calculated density comes out at 8.38 g/cm3.

a b c (Å): 3.698 3.698 3.698
angles (deg): 90.00 90.00 90.00
Atoms (fractional coordinates):
Cu (0.000, 0.500, 0.500)
Cu (0.500, 0.000, 0.500)
Cu (0.000, 0.000, 0.000)
Cu (0.500, 0.500, 0.000)
H (0.500, 0.500, 0.500)

---

First-principles (PBE-GGA) data for Cu5H after structural relaxation, as listed in Alexandria.

Values from the calculation:
The value obtained for the total energy is -22.3 eV for the cell shown. For the total magnetization, the calculation gives 0.000 μB/cell. The calculated density comes out at 7.85 g/cm3.

a b c (Å): 4.185 2.550 6.449
angles (deg): 101.40 90.00 90.00
Atoms (fractional coordinates):
Cu (0.000, 0.614, 0.229)
Cu (0.500, 0.169, 0.338)
Cu (0.500, 0.500, 0.000)
Cu (0.000, 0.386, 0.771)
H (0.000, 0.000, 0.000)
Cu (0.500, 0.831, 0.662)

---

First-principles (PBE-GGA) data for Cu3H after structural relaxation, as listed in Alexandria.

Values from the calculation:
The value obtained for the total energy is -14.8 eV for the cell shown. For the total magnetization, the calculation gives 0.000 μB/cell. The calculated density comes out at 7.90 g/cm3.

a b c (Å): 2.498 2.526 6.383
angles (deg): 90.00 90.00 90.00
Atoms (fractional coordinates):
Cu (0.500, 0.500, 0.125)
Cu (0.000, 0.500, 0.470)
H (0.000, 0.000, 0.977)
Cu (0.500, 0.000, 0.761)